# KReNi2 | Alexandria via LeMat-Bulk | PBE-GGA | relaxed
data_KReNi2
_cell_length_a 4.885
_cell_length_b 4.885
_cell_length_c 2.587
_cell_angle_alpha 90.00
_cell_angle_beta 90.00
_cell_angle_gamma 90.00
_symmetry_space_group_name_H-M 'P 4/m m m'
_symmetry_Int_Tables_number 123
_symmetry_space_group_name_Hall '-P 4 2'
loop_
_atom_site_label
_atom_site_type_symbol
_atom_site_fract_x
_atom_site_fract_y
_atom_site_fract_z
_atom_site_occupancy
K1 K 0.000 0.000 0.000 1
Re1 Re 0.500 0.500 0.000 1
Ni1 Ni 0.000 0.500 0.500 1
# E_form   87.1 kJ per mole of atoms
# Total moment   0.0 μB/f.u.
# Crystal system   tetragonal
# Uncorrected energy   -21.497 eV for the cell shown
# DOS(E_F)   4.52 states/eV/f.u.

# KReNi2 | Alexandria via LeMat-Bulk | PBE-GGA | relaxed
data_KReNi2
_cell_length_a 2.7837
_cell_length_b 2.7837
_cell_length_c 28.7626
_cell_angle_alpha 90.00
_cell_angle_beta 90.00
_cell_angle_gamma 120.00
_symmetry_space_group_name_H-M 'R -3 m'
_symmetry_Int_Tables_number 166
_symmetry_space_group_name_Hall '-R 3 2"'
loop_
_atom_site_label
_atom_site_type_symbol
_atom_site_fract_x
_atom_site_fract_y
_atom_site_fract_z
_atom_site_occupancy
K1 K 0.0000 0.0000 0.0000 1
Re1 Re 0.0000 0.0000 0.5000 1
Ni1 Ni 0.0000 0.0000 0.2362 1
# E_form   70.7 kJ per mole of atoms
# Total moment   0.3 μB/f.u.
# Crystal system   trigonal
# Uncorrected energy   -66.535 eV for the cell shown
# DOS(E_F)   6.73 states/eV/f.u.

# KReNi | Alexandria via LeMat-Bulk | PBE-GGA | relaxed
data_KReNi
_cell_length_a 3.9433
_cell_length_b 3.9433
_cell_length_c 5.6552
_cell_angle_alpha 90.00
_cell_angle_beta 90.00
_cell_angle_gamma 120.00
_symmetry_space_group_name_H-M 'P -6 m 2'
_symmetry_Int_Tables_number 187
_symmetry_space_group_name_Hall 'P -6 2'
loop_
_atom_site_label
_atom_site_type_symbol
_atom_site_fract_x
_atom_site_fract_y
_atom_site_fract_z
_atom_site_occupancy
K1 K 0.0000 0.0000 0.0000 1
Re1 Re 0.3333 0.6667 0.5000 1
Ni1 Ni 0.6667 0.3333 0.5000 1
# E_form   120.5 kJ per mole of atoms
# Total moment   0.5 μB/f.u.
# Crystal system   hexagonal
# Uncorrected energy   -15.579 eV for the cell shown
# DOS(E_F)   3.32 states/eV/f.u.

# KReNi | Alexandria via LeMat-Bulk | PBE-GGA | relaxed
data_KReNi
_cell_length_a 5.9163
_cell_length_b 5.9163
_cell_length_c 8.9868
_cell_angle_alpha 90.00
_cell_angle_beta 90.00
_cell_angle_gamma 120.00
_symmetry_space_group_name_H-M 'P 63/m m c'
_symmetry_Int_Tables_number 194
_symmetry_space_group_name_Hall '-P 6c 2c'
loop_
_atom_site_label
_atom_site_type_symbol
_atom_site_fract_x
_atom_site_fract_y
_atom_site_fract_z
_atom_site_occupancy
K1 K 0.3333 0.6667 0.2500 1
Re1 Re 0.0000 0.0000 0.2500 1
Ni1 Ni 0.0000 0.0000 0.0000 1
# E_form   212.6 kJ per mole of atoms
# Total moment   3.4 μB/f.u.
# Crystal system   hexagonal
# Uncorrected energy   -25.436 eV for the cell shown
# DOS(E_F)   2.28 states/eV/f.u.

# K3ReNi | Alexandria via LeMat-Bulk | PBE-GGA | relaxed
data_K3ReNi
_cell_length_a 5.973
_cell_length_b 5.973
_cell_length_c 5.973
_cell_angle_alpha 90.00
_cell_angle_beta 90.00
_cell_angle_gamma 90.00
_symmetry_space_group_name_H-M 'P m -3 m'
_symmetry_Int_Tables_number 221
_symmetry_space_group_name_Hall '-P 4 2 3'
loop_
_atom_site_label
_atom_site_type_symbol
_atom_site_fract_x
_atom_site_fract_y
_atom_site_fract_z
_atom_site_occupancy
K1 K 0.000 0.000 0.500 1
Re1 Re 0.500 0.500 0.500 1
Ni1 Ni 0.000 0.000 0.000 1
# E_form   164.6 kJ per mole of atoms
# Total moment   4.0 μB/f.u.
# Crystal system   cubic
# Uncorrected energy   -12.995 eV for the cell shown
# DOS(E_F)   9.57 states/eV/f.u.

# KReNi | Alexandria via LeMat-Bulk | PBE-GGA | relaxed
data_KReNi
_cell_length_a 3.853
_cell_length_b 3.853
_cell_length_c 10.999
_cell_angle_alpha 90.00
_cell_angle_beta 90.00
_cell_angle_gamma 90.00
_symmetry_space_group_name_H-M 'P 4/n m m'
_symmetry_Int_Tables_number 129
loop_
_symmetry_equiv_pos_as_xyz
'x,y,z'
'-x,-y,-z'
'-y+1/2,x,z'
'y+1/2,-x,-z'
'-x+1/2,-y+1/2,z'
'x+1/2,y+1/2,-z'
'y,-x+1/2,z'
'-y,x+1/2,-z'
'x+1/2,-y,-z'
'-x+1/2,y,z'
'-y,-x,-z'
'y,x,z'
'-x,y+1/2,-z'
'x,-y+1/2,z'
'y+1/2,x+1/2,-z'
'-y+1/2,-x+1/2,z'
loop_
_atom_site_label
_atom_site_type_symbol
_atom_site_fract_x
_atom_site_fract_y
_atom_site_fract_z
_atom_site_occupancy
K1 K 0.250 0.250 0.196 1
Re1 Re 0.250 0.750 0.500 1
Ni1 Ni 0.250 0.250 0.637 1
# E_form   61.6 kJ per mole of atoms
# Total moment   0.0 μB/f.u.
# Crystal system   tetragonal
# Uncorrected energy   -34.821 eV for the cell shown
# DOS(E_F)   2.20 states/eV/f.u.

# KReNi | Alexandria via LeMat-Bulk | PBE-GGA | relaxed
data_KReNi
_cell_length_a 3.796
_cell_length_b 3.576
_cell_length_c 12.010
_cell_angle_alpha 90.00
_cell_angle_beta 97.35
_cell_angle_gamma 90.00
_symmetry_space_group_name_H-M 'P 1 21/m 1'
_symmetry_Int_Tables_number 11
_symmetry_space_group_name_Hall '-P 2yb'
loop_
_atom_site_label
_atom_site_type_symbol
_atom_site_fract_x
_atom_site_fract_y
_atom_site_fract_z
_atom_site_occupancy
K1 K 0.179 0.250 0.324 1
Re1 Re 0.027 0.750 0.068 1
Ni1 Ni 0.468 0.750 0.923 1
# E_form   53.8 kJ per mole of atoms
# Total moment   0.0 μB/f.u.
# Crystal system   monoclinic
# Uncorrected energy   -35.308 eV for the cell shown
# DOS(E_F)   2.72 states/eV/f.u.

# KReNi | Alexandria via LeMat-Bulk | PBE-GGA | relaxed
data_KReNi
_cell_length_a 7.175
_cell_length_b 4.260
_cell_length_c 7.833
_cell_angle_alpha 90.00
_cell_angle_beta 90.00
_cell_angle_gamma 90.00
_symmetry_space_group_name_H-M 'P n m a'
_symmetry_Int_Tables_number 62
_symmetry_space_group_name_Hall '-P 2ac 2n'
loop_
_atom_site_label
_atom_site_type_symbol
_atom_site_fract_x
_atom_site_fract_y
_atom_site_fract_z
_atom_site_occupancy
K1 K 0.028 0.250 0.126 1
Re1 Re 0.076 0.250 0.546 1
Ni1 Ni 0.218 0.750 0.308 1
# E_form   87.4 kJ per mole of atoms
# Total moment   0.0 μB/f.u.
# Crystal system   orthorhombic
# Uncorrected energy   -66.433 eV for the cell shown
# DOS(E_F)   0.59 states/eV/f.u.

# KReNi2 | Alexandria via LeMat-Bulk | PBE-GGA | relaxed
data_KReNi2
_cell_length_a 7.225
_cell_length_b 7.225
_cell_length_c 6.840
_cell_angle_alpha 90.00
_cell_angle_beta 90.00
_cell_angle_gamma 90.00
_symmetry_space_group_name_H-M 'I -4 2 d'
_symmetry_Int_Tables_number 122
_symmetry_space_group_name_Hall 'I -4 2bw'
loop_
_atom_site_label
_atom_site_type_symbol
_atom_site_fract_x
_atom_site_fract_y
_atom_site_fract_z
_atom_site_occupancy
K1 K 0.000 0.000 0.000 1
Re1 Re 0.000 0.000 0.500 1
Ni1 Ni 0.157 0.250 0.625 1
# E_form   123.9 kJ per mole of atoms
# Total moment   1.7 μB/f.u.
# Crystal system   tetragonal
# Uncorrected energy   -79.890 eV for the cell shown
# DOS(E_F)   4.99 states/eV/f.u.

# KReNi2 | Alexandria via LeMat-Bulk | PBE-GGA | relaxed
data_KReNi2
_cell_length_a 6.233
_cell_length_b 6.233
_cell_length_c 6.233
_cell_angle_alpha 90.00
_cell_angle_beta 90.00
_cell_angle_gamma 90.00
_symmetry_space_group_name_H-M 'F -4 3 m'
_symmetry_Int_Tables_number 216
_symmetry_space_group_name_Hall 'F -4 2 3'
loop_
_atom_site_label
_atom_site_type_symbol
_atom_site_fract_x
_atom_site_fract_y
_atom_site_fract_z
_atom_site_occupancy
K1 K 0.000 0.000 0.000 1
Re1 Re 0.250 0.250 0.250 1
Ni1 Ni 0.000 0.000 0.500 1
Ni2 Ni 0.250 0.250 0.750 1
# E_form   153.7 kJ per mole of atoms
# Total moment   0.0 μB/f.u.
# Crystal system   cubic
# Uncorrected energy   -74.948 eV for the cell shown
# DOS(E_F)   3.00 states/eV/f.u.

# KReNi2 | Alexandria via LeMat-Bulk | PBE-GGA | relaxed
data_KReNi2
_cell_length_a 2.586
_cell_length_b 4.780
_cell_length_c 10.390
_cell_angle_alpha 90.00
_cell_angle_beta 90.00
_cell_angle_gamma 90.00
_symmetry_space_group_name_H-M 'I m m 2'
_symmetry_Int_Tables_number 44
_symmetry_space_group_name_Hall 'I 2 -2'
loop_
_atom_site_label
_atom_site_type_symbol
_atom_site_fract_x
_atom_site_fract_y
_atom_site_fract_z
_atom_site_occupancy
K1 K 0.000 0.000 0.000 1
Re1 Re 0.000 0.500 0.209 1
Ni1 Ni 0.000 0.000 0.501 1
Ni2 Ni 0.000 0.500 0.781 1
# E_form   86.6 kJ per mole of atoms
# Total moment   0.0 μB/f.u.
# Crystal system   orthorhombic
# Uncorrected energy   -43.038 eV for the cell shown
# DOS(E_F)   5.06 states/eV/f.u.

# KReNi | Alexandria via LeMat-Bulk | PBE-GGA | relaxed
data_KReNi
_cell_length_a 2.714
_cell_length_b 4.116
_cell_length_c 12.475
_cell_angle_alpha 90.00
_cell_angle_beta 93.46
_cell_angle_gamma 90.00
_symmetry_space_group_name_H-M 'P 1 m 1'
_symmetry_Int_Tables_number 6
_symmetry_space_group_name_Hall 'P -2y'
loop_
_atom_site_label
_atom_site_type_symbol
_atom_site_fract_x
_atom_site_fract_y
_atom_site_fract_z
_atom_site_occupancy
K1 K 0.000 0.000 0.000 1
K2 K 0.422 0.500 0.342 1
Re1 Re 0.082 0.000 0.741 1
Re2 Re 0.294 0.000 0.555 1
Ni1 Ni 0.547 0.500 0.800 1
Ni2 Ni 0.814 0.500 0.606 1
# E_form   56.4 kJ per mole of atoms
# Total moment   0.0 μB/f.u.
# Crystal system   monoclinic
# Uncorrected energy   -35.149 eV for the cell shown
# DOS(E_F)   5.12 states/eV/f.u.

# KReNi2 | Alexandria via LeMat-Bulk | PBE-GGA | relaxed
data_KReNi2
_cell_length_a 8.175
_cell_length_b 2.629
_cell_length_c 7.050
_cell_angle_alpha 90.00
_cell_angle_beta 93.71
_cell_angle_gamma 90.00
_symmetry_space_group_name_H-M 'C 1 2/m 1'
_symmetry_Int_Tables_number 12
_symmetry_space_group_name_Hall '-C 2y'
loop_
_atom_site_label
_atom_site_type_symbol
_atom_site_fract_x
_atom_site_fract_y
_atom_site_fract_z
_atom_site_occupancy
K1 K 0.000 0.000 0.000 1
Re1 Re 0.000 0.500 0.500 1
Ni1 Ni 0.241 0.000 0.648 1
# E_form   57.3 kJ per mole of atoms
# Total moment   0.0 μB/f.u.
# Crystal system   monoclinic
# Uncorrected energy   -45.463 eV for the cell shown
# DOS(E_F)   3.64 states/eV/f.u.

# KReNi | Alexandria via LeMat-Bulk | PBE-GGA | relaxed
data_KReNi
_cell_length_a 2.860
_cell_length_b 2.860
_cell_length_c 14.077
_cell_angle_alpha 90.00
_cell_angle_beta 90.00
_cell_angle_gamma 90.00
_symmetry_space_group_name_H-M 'I 4 m m'
_symmetry_Int_Tables_number 107
_symmetry_space_group_name_Hall 'I 4 -2'
loop_
_atom_site_label
_atom_site_type_symbol
_atom_site_fract_x
_atom_site_fract_y
_atom_site_fract_z
_atom_site_occupancy
K1 K 0.000 0.000 0.000 1
Re1 Re 0.000 0.000 0.292 1
Ni1 Ni 0.000 0.000 0.693 1
# E_form   81.4 kJ per mole of atoms
# Total moment   0.0 μB/f.u.
# Crystal system   tetragonal
# Uncorrected energy   -33.590 eV for the cell shown
# DOS(E_F)   3.21 states/eV/f.u.